1.
An optimized crystal structure of GdTmTl2Pt4, computed with GGA-PBE.

* crystal system: hexagonal
* final energy: -5.50 eV per atom
* theoretical density: 15085 kg/m³

a b c (Å): 4.633 4.633 8.972
angles (deg): 90.00 90.00 120.00
Fractional positions:
Pt  0.000  0.000  0.653
Tl  0.333  0.667  0.748
Tm  0.667  0.333  0.500
Pt  0.667  0.333  0.157
Gd  0.000  0.000  0.000
Pt  0.667  0.333  0.843
Pt  0.000  0.000  0.347
Tl  0.333  0.667  0.252

2.
An optimized crystal structure of TaFeBPt, computed with GGA-PBE.

* crystal system: cubic
* final energy: -7.94 eV per atom
* theoretical density: 13849 kg/m³

a b c (Å): 4.218 4.218 4.218
angles (deg): 60.00 60.00 60.00
Fractional positions:
B  0.000  0.000  0.000
Ta  0.500  0.500  0.500
Fe  0.750  0.750  0.750
Pt  0.250  0.250  0.250

3.
An optimized crystal structure of NdScSn, computed with GGA-PBE.

* crystal system: cubic
* final energy: -5.40 eV per atom
* theoretical density: 5494 kg/m³

a b c (Å): 5.087 5.087 5.087
angles (deg): 60.00 60.00 60.00
Fractional positions:
Sc  0.250  0.250  0.250
Nd  0.750  0.750  0.750
Sn  0.000  0.000  0.000

4.
An optimized crystal structure of Ba4HoSi, computed with GGA-PBE.

* crystal system: orthorhombic
* final energy: -2.71 eV per atom
* theoretical density: 3631 kg/m³

a b c (Å): 8.668 8.668 4.522
angles (deg): 90.00 90.00 91.91
Each line ends with the local moment (μB).
Fractional positions:
Ba  0.807  0.807  0.000  0.05
Ba  0.257  0.743  0.500  0.09
Ho  0.500  0.500  0.000  0.69
Ba  0.193  0.193  0.000  0.05
Ba  0.743  0.257  0.500  0.09
Si  0.000  0.000  0.500  0.00

5.
An optimized crystal structure of ZnSb2Pb, computed with GGA-PBE.

* crystal system: cubic
* final energy: -3.10 eV per atom
* theoretical density: 8037 kg/m³

a b c (Å): 5.323 5.323 5.323
angles (deg): 60.00 60.00 60.00
Fractional positions:
Zn  0.250  0.250  0.250
Sb  0.750  0.750  0.750
Pb  0.500  0.500  0.500
Sb  0.000  0.000  0.000

6.
An optimized crystal structure of CsFe3N5, computed with GGA-PBE.

* crystal system: hexagonal
* final energy: -6.80 eV per atom
* theoretical density: 4856 kg/m³

a b c (Å): 4.773 4.773 6.421
angles (deg): 90.00 90.00 120.00
Each line ends with the local moment (μB).
Fractional positions:
N  0.333  0.667  0.300  0.02
Fe  0.500  0.000  0.500  1.47
Cs  0.000  0.000  0.000  0.02
Fe  0.000  0.500  0.500  1.77
N  0.667  0.333  0.700  0.02
N  0.333  0.667  0.700  0.02
Fe  0.500  0.500  0.500  1.39
N  0.000  0.000  0.500  0.43
N  0.667  0.333  0.300  0.02